1.
Here is a relaxed structure of BaSc2Os from Alexandria via LeMat-Bulk. Energies are from PBE.

- Energy relative to the lowest polymorph listed for this composition: 212 meV/atom
- Energy of formation from the pure elements: 0.104 eV/atom
- VASP energy: -6.35 eV/atom

Cell: 8.304 8.304 8.304 Å, 156.91 148.72 39.24°
Positions (direct):
Ba 0.000 0.000 0.000
Sc 0.319 0.819 0.500
Sc 0.685 0.685 0.000
Os 0.814 0.314 0.500

---

2.
Here is a relaxed structure of BaSc3Os from Alexandria via LeMat-Bulk. Energies are from PBE.

- Energy relative to the lowest polymorph listed for this composition: 2020 meV/atom
- Energy of formation from the pure elements: 1.952 eV/atom
- VASP energy: -4.48 eV/atom

Cell: 5.057 5.057 5.057 Å, 90.00 90.00 90.00°
Positions (direct):
Ba 0.000 0.000 0.000
Sc 0.000 0.000 0.500
Sc 0.000 0.500 0.000
Sc 0.500 0.000 0.000
Os 0.500 0.500 0.500

---

3.
Here is a relaxed structure of Ba2ScOs from Alexandria via LeMat-Bulk. Energies are from PBE.

- Energy relative to the lowest polymorph listed for this composition: 524 meV/atom
- Energy of formation from the pure elements: 0.737 eV/atom
- VASP energy: -4.61 eV/atom

Cell: 5.407 5.407 5.407 Å, 60.00 60.00 60.00°
Positions (direct):
Ba 0.000 0.000 0.000
Ba 0.250 0.250 0.250
Sc 0.500 0.500 0.500
Os 0.750 0.750 0.750

---

4.
Here is a relaxed structure of Ba2ScOs from Alexandria via LeMat-Bulk. Energies are from PBE.

- Energy relative to the lowest polymorph listed for this composition: 245 meV/atom
- Energy of formation from the pure elements: 0.459 eV/atom
- VASP energy: -4.89 eV/atom

Cell: 8.747 8.747 8.747 Å, 94.67 94.67 146.83°
Positions (direct):
Ba 0.375 0.042 0.167
Ba 0.792 0.625 0.667
Ba 0.875 0.208 0.833
Ba 0.958 0.125 0.333
Sc 0.250 0.750 0.500
Sc 0.500 0.500 0.000
Os 0.000 0.000 0.000
Os 0.750 0.250 0.500

---

Number 1: magnetic moment 0.000 μB/f.u.. Number 2: magnetic moment 0.000 μB/f.u.. Number 3: magnetic moment 0.000 μB/f.u.. Number 4: magnetic moment 0.000 μB/f.u..